(P)
! PBE La3BiSb, relaxed; values from VASP
! N(E_F) in states/eV/f.u.: 4.6
! Space group: P-1
&SYSTEM
  ibrav = 0, nat = 10, ntyp = 3
/
ATOMIC_SPECIES
La 138.91 La.upf
Bi 208.98 Bi.upf
Sb 121.76 Sb.upf
CELL_PARAMETERS angstrom
4.450 0.000 0.000
0.000 8.497 0.000
-0.005 -2.135 8.971
ATOMIC_POSITIONS angstrom
La 1.109 2.230 0.356
La 1.108 2.112 3.547
La 1.108 6.323 3.177
La 3.337 0.040 5.793
La 3.337 4.250 5.423
La 3.336 4.132 8.615
Bi 1.113 6.273 6.831
Bi 3.332 0.089 2.139
Sb 1.112 2.256 6.882
Sb 3.332 4.107 2.088

***

(Q)
! PBE La3BiSb, relaxed; values from VASP
! N(E_F) in states/eV/f.u.: 7.2
! Space group: Pm-3m
&SYSTEM
  ibrav = 0, nat = 5, ntyp = 3
/
ATOMIC_SPECIES
La 138.91 La.upf
Bi 208.98 Bi.upf
Sb 121.76 Sb.upf
CELL_PARAMETERS angstrom
5.967 0.000 0.000
0.000 5.967 0.000
0.000 0.000 5.967
ATOMIC_POSITIONS angstrom
La 0.000 0.000 2.983
La 0.000 2.983 0.000
La 2.983 0.000 0.000
Bi 2.983 2.983 2.983
Sb 0.000 0.000 0.000

***

Q: Which of them is the least stable? A: (Q).

***

(P)
! PBE La2BiSb2, relaxed; values from VASP
! N(E_F) in states/eV/f.u.: 1.5
! Space group: I4/mmm
&SYSTEM
  ibrav = 0, nat = 5, ntyp = 3
/
ATOMIC_SPECIES
La 138.91 La.upf
Bi 208.98 Bi.upf
Sb 121.76 Sb.upf
CELL_PARAMETERS angstrom
-3.103 3.103 4.661
3.103 -3.103 4.661
3.103 3.103 -4.661
ATOMIC_POSITIONS angstrom
La 3.103 0.000 2.331
La 0.000 3.103 2.331
Bi 0.000 0.000 0.000
Sb 0.000 0.000 3.167
Sb 0.000 0.000 6.155

***

(Q)
! PBE La2BiSb2, relaxed; values from VASP
! N(E_F) in states/eV/f.u.: 3.6
! Space group: P4/mbm
&SYSTEM
  ibrav = 0, nat = 10, ntyp = 3
/
ATOMIC_SPECIES
La 138.91 La.upf
Bi 208.98 Bi.upf
Sb 121.76 Sb.upf
CELL_PARAMETERS angstrom
8.600 0.000 0.000
0.000 8.600 0.000
0.000 0.000 4.361
ATOMIC_POSITIONS angstrom
La 1.342 2.958 0.000
La 2.958 7.257 0.000
La 5.642 1.342 0.000
La 7.257 5.642 0.000
Bi 0.000 0.000 2.180
Bi 4.300 4.300 2.180
Sb 1.285 5.584 2.180
Sb 3.015 1.285 2.180
Sb 5.584 7.315 2.180
Sb 7.315 3.015 2.180

***

Q: Which of them is the least stable? A: (P).

***

(P)
! PBE LaSc3Bi, relaxed; values from VASP
! N(E_F) in states/eV/f.u.: 8.3
! Space group: Pm-3m
&SYSTEM
  ibrav = 0, nat = 5, ntyp = 3
/
ATOMIC_SPECIES
La 138.91 La.upf
Sc 44.96 Sc.upf
Bi 208.98 Bi.upf
CELL_PARAMETERS angstrom
5.259 0.000 0.000
0.000 5.259 0.000
0.000 0.000 5.259
ATOMIC_POSITIONS angstrom
La 0.000 0.000 0.000
Sc 0.000 0.000 2.630
Sc 0.000 2.630 0.000
Sc 2.630 0.000 0.000
Bi 2.630 2.630 2.630

***

(Q)
! PBE LaSc3Bi, relaxed; values from VASP
! N(E_F) in states/eV/f.u.: 6.8
! Space group: Pm-3m
&SYSTEM
  ibrav = 0, nat = 5, ntyp = 3
/
ATOMIC_SPECIES
La 138.91 La.upf
Sc 44.96 Sc.upf
Bi 208.98 Bi.upf
CELL_PARAMETERS angstrom
5.537 0.000 0.000
0.000 5.537 0.000
0.000 0.000 5.537
ATOMIC_POSITIONS angstrom
La 0.000 0.000 0.000
Sc 0.000 2.768 2.768
Sc 2.768 0.000 2.768
Sc 2.768 2.768 0.000
Bi 2.768 2.768 2.768

***

Q: Which of them is the least stable? A: (P).

***

(P)
! PBE La2ScBi, relaxed; values from VASP
! N(E_F) in states/eV/f.u.: 5.6
! Space group: P4/mmm
&SYSTEM
  ibrav = 0, nat = 4, ntyp = 3
/
ATOMIC_SPECIES
La 138.91 La.upf
Sc 44.96 Sc.upf
Bi 208.98 Bi.upf
CELL_PARAMETERS angstrom
4.879 0.000 0.000
0.000 4.879 0.000
0.000 0.000 5.004
ATOMIC_POSITIONS angstrom
La 0.000 2.440 0.000
La 2.440 0.000 0.000
Sc 0.000 0.000 2.502
Bi 2.440 2.440 2.502

***

(Q)
! PBE La2ScBi, relaxed; values from VASP
! N(E_F) in states/eV/f.u.: 5.3
! Space group: I-42d
&SYSTEM
  ibrav = 0, nat = 8, ntyp = 3
/
ATOMIC_SPECIES
La 138.91 La.upf
Sc 44.96 Sc.upf
Bi 208.98 Bi.upf
CELL_PARAMETERS angstrom
-4.535 4.535 3.175
4.535 -4.535 3.175
4.535 4.535 -3.175
ATOMIC_POSITIONS angstrom
La 2.267 2.167 -0.794
La 2.368 -2.267 3.969
La 2.267 2.368 2.381
La 2.167 6.802 0.794
Sc 4.535 0.000 1.587
Sc 0.000 0.000 3.175
Bi 0.000 0.000 0.000
Bi 0.000 4.535 1.587

***

Q: Which of them is the least stable? A: (Q).

***

(P)
! PBE La2ScBi2, relaxed; values from VASP
! N(E_F) in states/eV/f.u.: 4.4
! Space group: P4/mbm
&SYSTEM
  ibrav = 0, nat = 10, ntyp = 3
/
ATOMIC_SPECIES
La 138.91 La.upf
Sc 44.96 Sc.upf
Bi 208.98 Bi.upf
CELL_PARAMETERS angstrom
8.366 0.000 0.000
0.000 8.366 0.000
0.000 0.000 4.577
ATOMIC_POSITIONS angstrom
La 1.301 2.882 0.000
La 2.882 7.065 0.000
La 5.484 1.301 0.000
La 7.065 5.484 0.000
Sc 0.000 0.000 2.289
Sc 4.183 4.183 2.289
Bi 1.274 5.457 2.289
Bi 2.909 1.274 2.289
Bi 5.457 7.092 2.289
Bi 7.092 2.909 2.289

***

(Q)
! PBE La2ScBi2, relaxed; values from VASP
! N(E_F) in states/eV/f.u.: 3.3
! Space group: P4/mbm
&SYSTEM
  ibrav = 0, nat = 10, ntyp = 3
/
ATOMIC_SPECIES
La 138.91 La.upf
Sc 44.96 Sc.upf
Bi 208.98 Bi.upf
CELL_PARAMETERS angstrom
8.855 0.000 0.000
0.000 8.855 0.000
0.000 0.000 4.231
ATOMIC_POSITIONS angstrom
La 1.194 3.233 0.000
La 3.233 7.661 0.000
La 5.622 1.194 0.000
La 7.661 5.622 0.000
Sc 0.000 0.000 0.000
Sc 4.428 4.428 0.000
Bi 1.509 5.936 2.116
Bi 2.919 1.509 2.116
Bi 5.936 7.347 2.116
Bi 7.347 2.919 2.116

***

Q: Which of them is the least stable? A: (Q).

***

(P)
! PBE LaBi3Se, relaxed; values from VASP
! N(E_F) in states/eV/f.u.: 5.9
! Space group: Pm-3m
&SYSTEM
  ibrav = 0, nat = 5, ntyp = 3
/
ATOMIC_SPECIES
La 138.91 La.upf
Bi 208.98 Bi.upf
Se 78.96 Se.upf
CELL_PARAMETERS angstrom
6.160 0.000 0.000
0.000 6.160 0.000
0.000 0.000 6.160
ATOMIC_POSITIONS angstrom
La 0.000 0.000 0.000
Bi 0.000 0.000 3.080
Bi 0.000 3.080 0.000
Bi 3.080 0.000 0.000
Se 3.080 3.080 3.080

***

(Q)
! PBE LaBi3Se, relaxed; values from VASP
! N(E_F) in states/eV/f.u.: 3.3
! Space group: Pm-3m
&SYSTEM
  ibrav = 0, nat = 5, ntyp = 3
/
ATOMIC_SPECIES
La 138.91 La.upf
Bi 208.98 Bi.upf
Se 78.96 Se.upf
CELL_PARAMETERS angstrom
5.583 0.000 0.000
0.000 5.583 0.000
0.000 0.000 5.583
ATOMIC_POSITIONS angstrom
La 0.000 0.000 0.000
Bi 0.000 2.792 2.792
Bi 2.792 0.000 2.792
Bi 2.792 2.792 0.000
Se 2.792 2.792 2.792

***

Q: Which of them is the least stable? A: (P).

***

(P)
! PBE La2ZnSiBi, relaxed; values from VASP
! N(E_F) in states/eV/f.u.: 3.9
! Space group: P4/mmm
&SYSTEM
  ibrav = 0, nat = 5, ntyp = 4
/
ATOMIC_SPECIES
La 138.91 La.upf
Zn 65.41 Zn.upf
Si 28.09 Si.upf
Bi 208.98 Bi.upf
CELL_PARAMETERS angstrom
5.714 0.000 0.000
0.000 5.714 0.000
0.000 0.000 5.327
ATOMIC_POSITIONS angstrom
La 0.000 2.857 0.000
La 2.857 0.000 0.000
Zn 0.000 0.000 2.664
Si 2.857 2.857 0.000
Bi 2.857 2.857 2.664

***

(Q)
! PBE La2ZnSiBi, relaxed; values from VASP
! N(E_F) in states/eV/f.u.: 4.3
! Space group: P4/mmm
&SYSTEM
  ibrav = 0, nat = 5, ntyp = 4
/
ATOMIC_SPECIES
La 138.91 La.upf
Zn 65.41 Zn.upf
Si 28.09 Si.upf
Bi 208.98 Bi.upf
CELL_PARAMETERS angstrom
6.112 0.000 0.000
0.000 6.112 0.000
0.000 0.000 5.037
ATOMIC_POSITIONS angstrom
La 0.000 3.056 0.000
La 3.056 0.000 0.000
Zn 0.000 0.000 2.518
Si 3.056 3.056 2.518
Bi 0.000 0.000 0.000

***

Q: Which of them is the least stable? A: (Q).

***

(P)
! PBE LaSm3Bi2, relaxed; values from VASP
! N(E_F) in states/eV/f.u.: 7.4
! Space group: C2/m
&SYSTEM
  ibrav = 0, nat = 12, ntyp = 3
/
ATOMIC_SPECIES
La 138.91 La.upf
Sm 150.36 Sm.upf
Bi 208.98 Bi.upf
CELL_PARAMETERS angstrom
9.619 -2.248 0.000
9.619 2.248 0.000
-4.263 0.000 9.225
ATOMIC_POSITIONS angstrom
La 1.632 0.000 1.126
La 13.343 0.000 8.098
Sm -1.752 0.000 6.193
Sm 5.524 0.000 1.021
Sm 4.648 0.000 4.852
Sm 10.327 0.000 4.373
Sm 9.451 0.000 8.204
Sm 16.727 0.000 3.032
Bi 1.700 0.000 6.578
Bi 8.737 0.000 1.447
Bi 6.238 0.000 7.778
Bi 13.275 0.000 2.647

***

(Q)
! PBE LaSm3Bi2, relaxed; values from VASP
! N(E_F) in states/eV/f.u.: 6.0
! Space group: P-4m2
&SYSTEM
  ibrav = 0, nat = 6, ntyp = 3
/
ATOMIC_SPECIES
La 138.91 La.upf
Sm 150.36 Sm.upf
Bi 208.98 Bi.upf
CELL_PARAMETERS angstrom
4.640 0.000 0.000
0.000 4.640 0.000
0.000 0.000 9.002
ATOMIC_POSITIONS angstrom
La 0.000 0.000 0.000
Sm 0.000 2.320 3.190
Sm 2.320 0.000 5.812
Sm 2.320 2.320 0.000
Bi 0.000 2.320 6.439
Bi 2.320 0.000 2.562

***

Q: Which of them is the least stable? A: (P).

***

(P)
! PBE La3SmBi3, relaxed; values from VASP
! N(E_F) in states/eV/f.u.: 9.0
! Space group: P2_13
&SYSTEM
  ibrav = 0, nat = 28, ntyp = 3
/
ATOMIC_SPECIES
La 138.91 La.upf
Sm 150.36 Sm.upf
Bi 208.98 Bi.upf
CELL_PARAMETERS angstrom
9.810 0.000 0.000
0.000 9.810 0.000
0.000 0.000 9.810
ATOMIC_POSITIONS angstrom
La 0.672 4.233 5.577
La 1.736 8.074 3.169
La 1.744 1.744 1.744
La 3.161 8.066 6.649
La 3.169 1.736 8.074
La 4.233 5.577 0.672
La 5.577 0.672 4.233
La 6.641 6.641 6.641
La 6.649 3.161 8.066
La 8.066 6.649 3.161
La 8.074 3.169 1.736
La 9.139 9.139 9.139
Sm 0.702 5.607 9.108
Sm 4.203 4.203 4.203
Sm 5.607 9.108 0.702
Sm 9.108 0.702 5.607
Bi 0.010 2.495 8.546
Bi 1.265 4.915 2.410
Bi 2.410 1.265 4.915
Bi 2.495 8.546 0.010
Bi 3.640 4.895 7.315
Bi 4.895 7.315 3.640
Bi 4.915 2.410 1.265
Bi 6.170 9.800 7.401
Bi 7.315 3.640 4.895
Bi 7.401 6.170 9.800
Bi 8.546 0.010 2.495
Bi 9.800 7.401 6.170

***

(Q)
! PBE La3SmBi3, relaxed; values from VASP
! N(E_F) in states/eV/f.u.: 6.7
! Space group: P6_3/m
&SYSTEM
  ibrav = 0, nat = 14, ntyp = 3
/
ATOMIC_SPECIES
La 138.91 La.upf
Sm 150.36 Sm.upf
Bi 208.98 Bi.upf
CELL_PARAMETERS angstrom
9.562 0.000 0.000
-4.781 8.281 0.000
0.000 0.000 6.145
ATOMIC_POSITIONS angstrom
La -3.522 6.293 1.536
La 1.093 2.084 1.536
La 2.352 0.096 4.609
La 2.430 8.185 1.536
La 3.688 6.197 4.609
La 8.304 1.989 4.609
Sm 0.000 5.521 1.536
Sm 4.781 2.760 4.609
Bi -2.467 5.168 4.609
Bi 1.539 3.561 4.609
Bi 3.854 0.447 1.536
Bi 0.928 7.834 4.609
Bi 3.242 4.720 1.536
Bi 7.248 3.114 1.536

***

Q: Which of them is the least stable? A: (Q).

***

(P)
! PBE LaSm3Bi3, relaxed; values from VASP
! N(E_F) in states/eV/f.u.: 8.2
! Space group: P2_13
&SYSTEM
  ibrav = 0, nat = 28, ntyp = 3
/
ATOMIC_SPECIES
La 138.91 La.upf
Sm 150.36 Sm.upf
Bi 208.98 Bi.upf
CELL_PARAMETERS angstrom
9.661 0.000 0.000
0.000 9.661 0.000
0.000 0.000 9.661
ATOMIC_POSITIONS angstrom
La 0.680 4.151 5.510
La 4.151 5.510 0.680
La 5.510 0.680 4.151
La 8.981 8.981 8.981
Sm 0.727 5.558 8.933
Sm 1.733 7.928 3.097
Sm 1.739 1.739 1.739
Sm 3.091 7.921 6.570
Sm 3.097 1.733 7.928
Sm 4.103 4.103 4.103
Sm 5.558 8.933 0.727
Sm 6.563 6.563 6.563
Sm 6.570 3.091 7.921
Sm 7.921 6.570 3.091
Sm 7.928 3.097 1.733
Sm 8.933 0.727 5.558
Bi 0.008 2.467 8.493
Bi 1.168 4.838 2.363
Bi 2.363 1.168 4.838
Bi 2.467 8.493 0.008
Bi 3.662 4.822 7.193
Bi 4.822 7.193 3.662
Bi 4.838 2.363 1.168
Bi 5.998 9.653 7.298
Bi 7.193 3.662 4.822
Bi 7.298 5.998 9.653
Bi 8.493 0.008 2.467
Bi 9.653 7.298 5.998

***

(Q)
! PBE LaSm3Bi3, relaxed; values from VASP
! N(E_F) in states/eV/f.u.: 4.7
! Space group: R-3
&SYSTEM
  ibrav = 0, nat = 14, ntyp = 3
/
ATOMIC_SPECIES
La 138.91 La.upf
Sm 150.36 Sm.upf
Bi 208.98 Bi.upf
CELL_PARAMETERS angstrom
4.738 2.736 6.385
-4.738 2.736 6.385
0.000 -5.471 6.385
ATOMIC_POSITIONS angstrom
La 0.000 0.000 3.181
La 0.000 0.000 15.975
Sm -1.235 -2.180 7.957
Sm -2.505 -0.021 11.199
Sm -1.271 2.159 7.957
Sm 1.271 -2.159 11.199
Sm 2.505 0.021 7.957
Sm 1.235 2.180 11.199
Bi -3.607 -0.027 7.996
Bi -1.780 -3.137 11.160
Bi 1.827 -3.110 7.996
Bi -1.827 3.110 11.160
Bi 1.780 3.137 7.996
Bi 3.607 0.027 11.160

***

Q: Which of them is the least stable? A: (Q).

***

(P)
! PBE LaSm2Bi, relaxed; values from VASP
! N(E_F) in states/eV/f.u.: 7.3
! Space group: P4/mmm
&SYSTEM
  ibrav = 0, nat = 4, ntyp = 3
/
ATOMIC_SPECIES
La 138.91 La.upf
Sm 150.36 Sm.upf
Bi 208.98 Bi.upf
CELL_PARAMETERS angstrom
4.143 0.000 0.000
0.000 4.143 0.000
0.000 0.000 7.508
ATOMIC_POSITIONS angstrom
La 0.000 0.000 0.000
Sm 2.071 2.071 2.106
Sm 2.071 2.071 5.402
Bi 0.000 0.000 3.754

***

(Q)
! PBE LaSm2Bi, relaxed; values from VASP
! N(E_F) in states/eV/f.u.: 3.9
! Space group: P4/mmm
&SYSTEM
  ibrav = 0, nat = 4, ntyp = 3
/
ATOMIC_SPECIES
La 138.91 La.upf
Sm 150.36 Sm.upf
Bi 208.98 Bi.upf
CELL_PARAMETERS angstrom
5.028 0.000 0.000
0.000 5.028 0.000
0.000 0.000 4.916
ATOMIC_POSITIONS angstrom
La 0.000 0.000 0.000
Sm 0.000 2.514 2.458
Sm 2.514 0.000 2.458
Bi 2.514 2.514 0.000

***

Q: Which of them is the least stable? A: (P).